The following is a DFT calculation (PBEsol) of a relaxed CrCdNi6 crystal.

Results
DFT formation energy: 49 meV/atom
Space-group type: Cmmm (65)

Lattice parameters (Å, degrees): 6.1771 6.1771 10.1426 90.00 90.00 109.64
Fractional coordinates of all 32 atoms:
1 Cr 0.0000 0.0000 0.2479
2 Cr 0.0000 0.0000 0.7521
3 Cr 0.2502 0.7498 0.5000
4 Cr 0.7498 0.2502 0.5000
5 Cd 0.2561 0.7439 0.0000
6 Cd 0.5000 0.5000 0.2523
7 Cd 0.5000 0.5000 0.7477
8 Cd 0.7439 0.2561 0.0000
9 Ni 0.0000 0.0000 0.0000
10 Ni 0.0000 0.0000 0.5000
11 Ni 0.1126 0.3696 0.3820
12 Ni 0.1126 0.3696 0.6180
13 Ni 0.1144 0.3571 0.1340
14 Ni 0.1144 0.3571 0.8660
15 Ni 0.2434 0.7566 0.2633
16 Ni 0.2434 0.7566 0.7367
17 Ni 0.3571 0.1144 0.1340
18 Ni 0.3571 0.1144 0.8660
19 Ni 0.3696 0.1126 0.3820
20 Ni 0.3696 0.1126 0.6180
21 Ni 0.5000 0.5000 0.0000
22 Ni 0.5000 0.5000 0.5000
23 Ni 0.6304 0.8874 0.3820
24 Ni 0.6304 0.8874 0.6180
25 Ni 0.6429 0.8856 0.1340
26 Ni 0.6429 0.8856 0.8660
27 Ni 0.7566 0.2434 0.2633
28 Ni 0.7566 0.2434 0.7367
29 Ni 0.8856 0.6429 0.1340
30 Ni 0.8856 0.6429 0.8660
31 Ni 0.8874 0.6304 0.3820
32 Ni 0.8874 0.6304 0.6180

=====

The following is a DFT calculation (PBEsol) of a relaxed CrCdO4 crystal.

Results
Raw formation energy: -1.555 eV/atom
Space-group type: Cmcm (63)
Polymorph energy (0 for the lowest one): 0 meV per atom

Lattice parameters (Å, degrees): 5.2085 5.2085 6.9573 90.00 90.00 114.13
Fractional coordinates of all 12 atoms:
1 Cr 0.1407 0.8593 0.7500
2 Cr 0.8593 0.1407 0.2500
3 Cd 0.5000 0.5000 0.0000
4 Cd 0.5000 0.5000 0.5000
5 O 0.2130 0.2748 0.2500
6 O 0.2464 0.7536 0.5588
7 O 0.2464 0.7536 0.9412
8 O 0.2748 0.2130 0.7500
9 O 0.7252 0.7870 0.2500
10 O 0.7536 0.2464 0.0588
11 O 0.7536 0.2464 0.4412
12 O 0.7870 0.7252 0.7500

=====

The following is a DFT calculation (PBEsol) of a relaxed CrCdO4 crystal.

Results
Raw formation energy: -1.542 eV/atom
Space-group type: C2/m (12)
Polymorph energy (0 for the lowest one): 13 meV per atom

Lattice parameters (Å, degrees): 7.1148 7.1148 7.0782 98.73 98.73 85.87
Fractional coordinates of all 24 atoms:
1 Cr 0.2260 0.2260 0.5812
2 Cr 0.2458 0.7542 0.0000
3 Cr 0.7542 0.2458 0.0000
4 Cr 0.7740 0.7740 0.4188
5 Cd 0.2883 0.2883 0.1257
6 Cd 0.3135 0.6865 0.5000
7 Cd 0.6865 0.3135 0.5000
8 Cd 0.7117 0.7117 0.8743
9 O 0.0021 0.2795 0.5183
10 O 0.0279 0.7244 0.8991
11 O 0.2756 0.9721 0.1009
12 O 0.2795 0.0021 0.5183
13 O 0.2841 0.2841 0.8121
14 O 0.2980 0.6129 0.1727
15 O 0.3550 0.3550 0.4609
16 O 0.3871 0.7020 0.8273
17 O 0.6129 0.2980 0.1727
18 O 0.6450 0.6450 0.5391
19 O 0.7020 0.3871 0.8273
20 O 0.7159 0.7159 0.1879
21 O 0.7205 0.9979 0.4817
22 O 0.7244 0.0279 0.8991
23 O 0.9721 0.2756 0.1009
24 O 0.9979 0.7205 0.4817

=====

The following is a DFT calculation (PBEsol) of a relaxed CrCdP2O crystal.

Results
Raw formation energy: 1.070 eV/atom
Space-group type: P4/mmm (123)

Lattice parameters (Å, degrees): 4.9076 4.9076 3.9546 90.00 90.00 90.00
Fractional coordinates of all 5 atoms:
1 Cr 0.0000 0.0000 0.0000
2 Cd 0.5000 0.5000 0.5000
3 P 0.0000 0.5000 0.5000
4 P 0.5000 0.0000 0.5000
5 O 0.5000 0.5000 0.0000